Entry 1:
A geometry-optimized AcNdAu structure. Source: the Alexandria database, functional GGA-PBE.

It has space group P3m1 (No. 156), with a = 5.0575 Å, b = 5.0575 Å, c = 4.5103 Å, α = 90.00°, β = 90.00° and γ = 120.00°. The inequivalent atoms are Ac at (0.0000, 0.0000, 0.0000), Nd at (0.3333, 0.6667, 0.4893) and Au at (0.6667, 0.3333, 0.5767).

Its uncorrected energy is -0.162 hartree per atom. For the formation energy, the calculation gives -0.3646 eV/atom. The value obtained for the density of states at the Fermi level is 3.6 states/eV/cell.

=====

Entry 2:
A geometry-optimized Ac3Nd7Au4 structure. Source: the Alexandria database, functional GGA-PBE.

It has space group C2/m (No. 12), with a = 18.9181 Å, b = 5.1098 Å, c = 11.4802 Å, α = 90.00°, β = 125.86° and γ = 90.00°. The inequivalent atoms are Ac at (0.0000, 0.0000, 0.0000), Ac at (0.1826, 0.5000, 0.6814), Nd at (0.0000, 0.0000, 0.5000), Nd at (0.0102, 0.5000, 0.2816), Nd at (0.1653, 0.0000, 0.4264), Nd at (0.1943, 0.5000, 0.0394), Au at (0.1101, 0.0000, 0.8400) and Au at (0.1661, 0.5000, 0.2694).

Its uncorrected energy is -0.170 hartree per atom. For the formation energy, the calculation gives -0.4207 eV/atom. The value obtained for the density of states at the Fermi level is 34.5 states/eV/cell.

=====

Entry 3:
A geometry-optimized Ac2NdAu structure. Source: the Alexandria database, functional GGA-PBE.

It has space group P2_1/m (No. 11), with a = 4.0262 Å, b = 11.2948 Å, c = 6.4522 Å, α = 90.00°, β = 91.03° and γ = 90.00°. The inequivalent atoms are Ac at (0.2461, 0.0470, 0.2582), Nd at (0.2642, 0.2500, 0.7780) and Au at (0.2494, 0.7500, 0.5712).

Its uncorrected energy is -0.161 hartree per atom. For the formation energy, the calculation gives -0.3096 eV/atom. The value obtained for the density of states at the Fermi level is 9.8 states/eV/cell.

=====

Entry 4:
A geometry-optimized Ac2NdAu structure. Source: the Alexandria database, functional GGA-PBE.

It has space group P4/mmm (No. 123), with a = 3.9190 Å, b = 3.9190 Å, c = 9.2164 Å, α = 90.00°, β = 90.00° and γ = 90.00°. The inequivalent atoms are Ac at (0.0000, 0.0000, 0.2085), Nd at (0.5000, 0.5000, 0.5000) and Au at (0.5000, 0.5000, 0.0000).

Its uncorrected energy is -0.162 hartree per atom. For the formation energy, the calculation gives -0.3541 eV/atom. The value obtained for the density of states at the Fermi level is 5.4 states/eV/cell.

=====

Entry 5:
A geometry-optimized AcNdAu4 structure. Source: the Alexandria database, functional GGA-PBE.

It has space group F-43m (No. 216), with a = 8.2670 Å, b = 8.2670 Å, c = 8.2670 Å, α = 90.00°, β = 90.00° and γ = 90.00°. The inequivalent atoms are Ac at (0.0000, 0.0000, 0.0000), Nd at (0.2500, 0.2500, 0.7500) and Au at (0.1245, 0.1245, 0.3755).

Its uncorrected energy is -0.154 hartree per atom. For the formation energy, the calculation gives -0.5200 eV/atom. The value obtained for the density of states at the Fermi level is 15.9 states/eV/cell.

=====

Entry 6:
A geometry-optimized Ac2Nd3Au4 structure. Source: the Alexandria database, functional GGA-PBE.

It has space group P2_1/c (No. 14), with a = 8.1362 Å, b = 7.9543 Å, c = 8.7677 Å, α = 90.00°, β = 109.73° and γ = 90.00°. The inequivalent atoms are Ac at (0.1950, 0.1714, 0.0949), Nd at (0.2433, 0.6506, 0.2522), Nd at (0.5000, 0.0000, 0.5000), Au at (0.0987, 0.5448, 0.8816) and Au at (0.4872, 0.6331, 0.6230).

Its uncorrected energy is -0.171 hartree per atom. For the formation energy, the calculation gives -0.7036 eV/atom. The value obtained for the density of states at the Fermi level is 17.0 states/eV/cell.

=====

Entry 7:
A geometry-optimized AcNdAu structure. Source: the Alexandria database, functional GGA-PBE.

It has space group F-43m (No. 216), with a = 7.4957 Å, b = 7.4957 Å, c = 7.4957 Å, α = 90.00°, β = 90.00° and γ = 90.00°. The inequivalent atoms are Ac at (0.0000, 0.0000, 0.0000), Nd at (0.0000, 0.0000, 0.5000) and Au at (0.2500, 0.2500, 0.2500).

Its uncorrected energy is -0.161 hartree per atom. For the formation energy, the calculation gives -0.3347 eV/atom. The value obtained for the density of states at the Fermi level is 23.3 states/eV/cell.

=====

Entry 8:
A geometry-optimized Ac2NdAu3 structure. Source: the Alexandria database, functional GGA-PBE.

It has space group P4/mmm (No. 123), with a = 3.8430 Å, b = 3.8430 Å, c = 11.5542 Å, α = 90.00°, β = 90.00° and γ = 90.00°. The inequivalent atoms are Ac at (0.0000, 0.0000, 0.1715), Nd at (0.0000, 0.0000, 0.5000), Au at (0.5000, 0.5000, 0.0000) and Au at (0.5000, 0.5000, 0.3508).

Its uncorrected energy is -0.168 hartree per atom. For the formation energy, the calculation gives -0.7638 eV/atom. The value obtained for the density of states at the Fermi level is 3.7 states/eV/cell.

=====

Entry 9:
A geometry-optimized AcNd5Au6 structure. Source: the Alexandria database, functional GGA-PBE.

It has space group P2/m (No. 10), with a = 5.3220 Å, b = 7.4507 Å, c = 8.4073 Å, α = 90.00°, β = 108.00° and γ = 90.00°. The inequivalent atoms are Ac at (0.0000, 0.0000, 0.0000), Nd at (0.0000, 0.5000, 0.0000), Nd at (0.3316, 0.0000, 0.6642), Nd at (0.3330, 0.5000, 0.6676), Au at (0.1727, 0.2551, 0.3435) and Au at (0.5000, 0.2634, 0.0000).

Its uncorrected energy is -0.174 hartree per atom. For the formation energy, the calculation gives -0.7574 eV/atom. The value obtained for the density of states at the Fermi level is 9.0 states/eV/cell.

=====

Entry 10:
A geometry-optimized Ac3NdAu2 structure. Source: the Alexandria database, functional GGA-PBE.

It has space group Ibam (No. 72), with a = 7.5707 Å, b = 14.8216 Å, c = 8.0250 Å, α = 90.00°, β = 90.00° and γ = 90.00°. The inequivalent atoms are Ac at (0.0000, 0.0000, 0.2500), Ac at (0.0000, 0.2747, 0.2500), Nd at (0.0000, 0.5000, 0.0000) and Au at (0.2010, 0.1400, 0.0000).

Its uncorrected energy is -0.160 hartree per atom. For the formation energy, the calculation gives -0.4071 eV/atom. The value obtained for the density of states at the Fermi level is 30.9 states/eV/cell.

=====

Entry 11:
A geometry-optimized Ac2NdAu3 structure. Source: the Alexandria database, functional GGA-PBE.

It has space group C2/m (No. 12), with a = 5.4482 Å, b = 16.4186 Å, c = 7.6519 Å, α = 90.00°, β = 90.00° and γ = 90.00°. The inequivalent atoms are Ac at (0.0000, 0.0000, 0.0000), Ac at (0.0000, 0.0000, 0.5000), Ac at (0.0000, 0.3334, 0.0000), Nd at (0.0000, 0.3327, 0.5000), Au at (0.0008, 0.1724, 0.7313) and Au at (0.0013, 0.5000, 0.2565).

Its uncorrected energy is -0.168 hartree per atom. For the formation energy, the calculation gives -0.7621 eV/atom. The value obtained for the density of states at the Fermi level is 17.6 states/eV/cell.

=====

Entry 12:
A geometry-optimized AcNd2Au8 structure. Source: the Alexandria database, functional GGA-PBE.

It has space group Immm (No. 71), with a = 5.2565 Å, b = 6.2451 Å, c = 15.5661 Å, α = 90.00°, β = 90.00° and γ = 90.00°. The inequivalent atoms are Ac at (0.0000, 0.0000, 0.0000), Nd at (0.0000, 0.5000, 0.1851), Au at (0.0000, 0.0000, 0.2048), Au at (0.0000, 0.2734, 0.3669) and Au at (0.2488, 0.0000, 0.5000).

Its uncorrected energy is -0.160 hartree per atom. For the formation energy, the calculation gives -0.7222 eV/atom. The value obtained for the density of states at the Fermi level is 9.5 states/eV/cell.